*i*
KMnHg | meta-GGA SCAN | PBEsol geometry

```
KMnHg
1.0
0.0000 3.7229 3.7229
3.7229 0.0000 3.7229
3.7229 3.7229 0.0000
K Mn Hg
1 1 1
direct
0.0000 0.0000 0.0000
0.2500 0.2500 0.2500
0.7500 0.7500 0.7500
```

Summary:
**Magnetization**: 1.57 μB/atom
**Calculated volume**: 34.4 Å³ per atom


*ii*
KMnHg | meta-GGA SCAN | PBEsol geometry

```
KMnHg
1.0
0.0000 3.5868 3.5868
3.5868 0.0000 3.5868
3.5868 3.5868 0.0000
K Mn Hg
1 1 1
direct
0.0000 0.0000 0.0000
0.5000 0.5000 0.5000
0.7500 0.7500 0.7500
```

Summary:
**Magnetization**: 1.62 μB/atom
**Calculated volume**: 30.8 Å³ per atom


We find *ii* to be the most stable, with the next structure 0.326 eV/atom higher.


*i*
K2HgP | meta-GGA SCAN | PBEsol geometry

```
K2HgP
1.0
3.3485 0.0000 0.0000
0.0000 5.2899 0.0000
-0.0096 0.0000 6.0225
K Hg P
2 1 1
direct
0.0000 0.0000 0.0000
0.0013 0.5000 0.6384
0.5003 0.0000 0.4646
0.5013 0.5000 0.1643
```

Summary:
**Magnetization**: 0.00 μB/atom
**Calculated volume**: 26.7 Å³ per atom


*ii*
K2HgP | meta-GGA SCAN | PBEsol geometry

```
K2HgP
1.0
-2.3856 2.3856 10.6720
2.3856 -2.3856 10.6720
2.3856 2.3856 -10.6720
K Hg P
4 2 2
direct
0.1143 0.6250 0.9893
0.3750 0.3643 0.4893
0.6357 0.1250 0.0107
0.8750 0.8857 0.5107
0.2500 0.7500 0.5000
0.5000 0.5000 0.0000
0.0000 0.0000 0.0000
0.7500 0.2500 0.5000
```

Summary:
**Magnetization**: 0.00 μB/atom
**Calculated volume**: 30.4 Å³ per atom


*iii*
K2HgP | meta-GGA SCAN | PBEsol geometry

```
K2HgP
1.0
-2.1447 2.6962 5.0955
2.1447 -2.6962 5.0955
2.1447 2.6962 -5.0955
K Hg P
2 1 1
direct
0.0000 0.0000 0.0000
0.6911 0.1911 0.5000
0.4054 0.4054 0.0000
0.2723 0.7723 0.5000
```

Summary:
**Magnetization**: 0.00 μB/atom
**Calculated volume**: 29.5 Å³ per atom


We find *iii* to be the most stable, with the next structure 0.141 eV/atom higher.